[1]
VASP calculation (PBE) on a relaxed structure of Sr2ZnNi2.

Cell lengths 5.795, 5.795, 7.277 Å; angles 90.00, 90.00, 90.00 degrees
Space group I4/mmm (No. 139)
One atom of each set of equivalent atoms:
Sr  0.000  0.500  0.250 x4
Zn  0.000  0.000  0.000 x2
Ni  0.000  0.000  0.338 x4

formation energy from the elements = 76 meV/atom
ρ = 4.87 g/cm³
volume = 24.44 A^3/atom

[2]
VASP calculation (PBE) on a relaxed structure of KNiMo.

Cell lengths 2.766, 3.245, 14.007 Å; angles 90.00, 90.00, 90.00 degrees
Space group Imm2 (No. 44)
One atom of each set of equivalent atoms:
K  0.000  0.000  0.000 x2
Ni  0.000  0.000  0.314 x2
Mo  0.000  0.000  0.724 x2

formation energy from the elements = 799 meV/atom
ρ = 5.12 g/cm³
ΔE to the lowest computed polymorph = 0 meV per atom
volume = 20.95 A^3/atom